Density functional theory data (SCAN) for a crystal of Al2ZnPt relaxed with PBEsol.

Unit cell a=3.673 b=3.952 c=3.952 alpha=90.30 beta=90.08 gamma=89.92
Atoms (fractional coordinates):
Al1 0.000 0.000 0.500
Al2 0.000 0.500 0.000
Zn1 0.500 0.500 0.500
Pt1 0.500 0.000 0.000

## Properties
ΔE_f	-2.54	eV/f.u.
VASP energy	-25.439	eV/atom
space-group type	C2/m

---

Density functional theory data (SCAN) for a crystal of KSrAs2 relaxed with PBEsol.

Unit cell a=4.519 b=4.722 c=4.722 alpha=90.00 beta=90.00 gamma=90.00
Atoms (fractional coordinates):
Sr1 0.500 0.000 0.000
As1 0.000 0.000 0.500
As2 0.000 0.500 0.000
K1 0.500 0.500 0.500

## Properties
ΔE_f	-2.39	eV/f.u.
energy relative to the lowest polymorph listed for this composition	0.91	eV/f.u.
VASP energy	-18.344	eV/atom
space-group type	P4/mmm

---

Density functional theory data (SCAN) for a crystal of EuAg2 relaxed with PBEsol.

Unit cell a=4.695 b=5.912 c=5.912 alpha=75.18 beta=66.60 gamma=66.60
Atoms (fractional coordinates):
Ag1 0.837 0.714 0.612
Ag2 0.163 0.286 0.388
Ag3 0.837 0.112 0.214
Ag4 0.163 0.888 0.786
Eu1 0.456 0.294 0.794
Eu2 0.544 0.706 0.206

## Properties
ΔE_f	-0.95	eV/f.u.
VASP energy	-39.132	eV/atom
space-group type	Imma

---

Density functional theory data (SCAN) for a crystal of Re2NiAs relaxed with PBEsol.

Unit cell a=2.663 b=2.663 c=7.925 alpha=90.00 beta=90.00 gamma=90.00
Atoms (fractional coordinates):
Re1 0.000 0.000 0.224
Re2 0.000 0.000 0.776
As1 0.500 0.500 0.500
Ni1 0.500 0.500 0.000

## Properties
ΔE_f	2.44	eV/f.u.
VASP energy	-44.029	eV/atom
space-group type	P4/mmm